11
Lattice="-4.774 -1.855 -0.409 3.110 -4.671 5.100 -1.242 7.237 1.892" Properties=species:S:1:pos:R:3 comment="Hf8Al2Ga, optimized geometry, DFT PBE" spacegroup="No. 12" total_energy_ev_per_atom=-8.226 delta_e_f_ev_per_atom=-0.031 dos_ef_per_ev_cell=11.79 pbc="T T T"
Hf -2.610 -0.265 2.557
Hf -2.683 3.721 2.385
Hf -3.104 1.833 4.810
Hf 0.198 -1.122 1.773
Hf -0.815 1.650 1.026
Hf -0.223 -3.010 4.198
Hf -2.091 -0.939 5.557
Hf -0.295 0.977 4.027
Al 1.785 -1.046 4.123
Al 0.083 3.612 2.869
Ga -2.387 -0.927 -0.204

---

19
Lattice="-4.456 5.363 1.333 -4.991 -1.988 -4.640 -4.030 -3.506 4.676" Properties=species:S:1:pos:R:3 comment="Hf2Al15Ga2, optimized geometry, DFT PBE" spacegroup="No. 166" total_energy_ev_per_atom=-4.341 delta_e_f_ev_per_atom=-0.020 dos_ef_per_ev_cell=5.88 pbc="T T T"
Al -6.864 -1.750 2.768
Al -4.336 2.859 2.277
Al -4.150 -1.002 3.732
Al -4.840 0.087 -2.953
Al -6.406 -2.687 0.223
Al -2.496 -0.994 -2.320
Al -7.071 2.555 1.146
Al -6.613 1.618 -1.399
Al -7.331 -1.013 -1.754
Al -2.228 2.681 0.667
Al -4.607 3.287 -0.353
Al -4.720 -2.417 -2.010
Al -4.301 -3.077 2.045
Al -6.146 0.882 3.123
Al -2.015 -1.753 2.338
Hf -11.991 -0.117 1.218
Hf -1.486 -0.014 0.151
Ga -4.542 -0.044 0.461
Ga -8.935 -0.087 0.908

---

20
Lattice="-0.584 -5.320 -3.861 -3.125 -4.313 6.416 -5.416 4.103 -4.834" Properties=species:S:1:pos:R:3 comment="Hf6AlGa3, optimized geometry, DFT PBE" spacegroup="No. 36" total_energy_ev_per_atom=-7.470 delta_e_f_ev_per_atom=-0.215 dos_ef_per_ev_cell=15.66 pbc="T T T"
Al -5.070 2.272 -3.209
Al -3.851 -5.940 2.282
Ga -1.313 -3.276 0.046
Ga -4.566 -4.828 -1.431
Ga -2.172 -3.853 -4.669
Ga -4.592 -1.000 -1.063
Ga -8.004 -3.997 -3.589
Ga -7.145 -3.420 1.126
Hf -2.824 -2.814 -2.139
Hf -5.120 -3.444 -4.237
Hf -6.540 -2.905 -1.451
Hf -4.140 -3.310 1.071
Hf -6.285 -5.937 0.465
Hf -3.376 -5.336 4.927
Hf -6.916 0.112 -2.135
Hf -5.762 -0.304 -7.286
Hf -2.862 0.211 -2.886
Hf -6.093 -0.814 1.241
Hf -2.231 -5.838 -0.286
Hf -2.377 -0.723 0.552